A relaxed Be2CoPb crystal, computed with PBE.

Cell: 3.768 3.768 3.672 Å, 90.00 90.00 90.00°
Space group P4/mmm (No. 123)
Symmetry-distinct sites (fractional):
Be (0.000, 0.500, 0.000) [2 per cell]
Co (0.000, 0.000, 0.500) [1 per cell]
Pb (0.500, 0.500, 0.500) [1 per cell]

## Properties
Formation enthalpy at 0 K ... 519 meV/atom
Crystal system ... tetragonal

A relaxed Be2CoPb crystal, computed with PBE.

Cell: 3.7943 3.7943 13.5295 Å, 90.00 90.00 120.00°
Space group R3m (No. 160, hexagonal axes)
Symmetry-distinct sites (fractional):
Be (0.0000, 0.0000, 0.0000) [3 per cell]
Be (0.0000, 0.0000, 0.3016) [3 per cell]
Co (0.0000, 0.0000, 0.6233) [3 per cell]
Pb (0.0000, 0.0000, 0.8173) [3 per cell]

## Properties
Formation enthalpy at 0 K ... 185 meV/atom
Crystal system ... trigonal

A relaxed Be2CoPb crystal, computed with PBE.

Cell: 5.961 5.961 5.961 Å, 90.00 90.00 90.00°
Space group F-43m (No. 216)
Symmetry-distinct sites (fractional):
Be (0.000, 0.000, 0.000) [4 per cell]
Be (0.250, 0.250, 0.250) [4 per cell]
Co (0.000, 0.000, 0.500) [4 per cell]
Pb (0.250, 0.250, 0.750) [4 per cell]

## Properties
Formation enthalpy at 0 K ... 628 meV/atom
Crystal system ... cubic

A relaxed Ti2BeCoPb crystal, computed with PBE.

Cell: 4.981 4.981 4.595 Å, 90.00 90.00 90.00°
Space group P4/mmm (No. 123)
Symmetry-distinct sites (fractional):
Ti (0.000, 0.500, 0.000) [2 per cell]
Be (0.000, 0.000, 0.500) [1 per cell]
Co (0.500, 0.500, 0.500) [1 per cell]
Pb (0.500, 0.500, 0.000) [1 per cell]

## Properties
Formation enthalpy at 0 K ... 1747 meV/atom
Crystal system ... tetragonal

A relaxed TiBeCoPb2 crystal, computed with PBE.

Cell: 4.982 4.982 4.476 Å, 90.00 90.00 90.00°
Space group P4/mmm (No. 123)
Symmetry-distinct sites (fractional):
Ti (0.000, 0.000, 0.000) [1 per cell]
Be (0.500, 0.500, 0.000) [1 per cell]
Co (0.000, 0.000, 0.500) [1 per cell]
Pb (0.000, 0.500, 0.500) [2 per cell]

## Properties
Formation enthalpy at 0 K ... 746 meV/atom
Crystal system ... tetragonal

A relaxed TiBeCoPb2 crystal, computed with PBE.

Cell: 5.467 5.467 4.171 Å, 90.00 90.00 90.00°
Space group P4/mmm (No. 123)
Symmetry-distinct sites (fractional):
Ti (0.000, 0.000, 0.000) [1 per cell]
Be (0.500, 0.500, 0.500) [1 per cell]
Co (0.000, 0.000, 0.500) [1 per cell]
Pb (0.000, 0.500, 0.000) [2 per cell]

## Properties
Formation enthalpy at 0 K ... 1112 meV/atom
Crystal system ... tetragonal

A relaxed BeCoPd2 crystal, computed with PBE.

Cell: 2.745 2.745 6.590 Å, 90.00 90.00 90.00°
Space group P4/mmm (No. 123)
Symmetry-distinct sites (fractional):
Be (0.000, 0.000, 0.000) [1 per cell]
Co (0.000, 0.000, 0.500) [1 per cell]
Pd (0.500, 0.500, 0.219) [2 per cell]

## Properties
Formation enthalpy at 0 K ... -257 meV/atom
Crystal system ... tetragonal

A relaxed BeCoPd2 crystal, computed with PBE.

Cell: 3.726 3.726 16.380 Å, 90.00 90.00 90.00°
Space group I-42d (No. 122)
Symmetry-distinct sites (fractional):
Be (0.000, 0.000, 0.000) [4 per cell]
Co (0.000, 0.000, 0.500) [4 per cell]
Pd (0.243, 0.250, 0.125) [8 per cell]

## Properties
Formation enthalpy at 0 K ... 305 meV/atom
Crystal system ... tetragonal